1.
CaPb2O, relaxed, DFT GGA-PBE; energy = -17.5 eV per formula unit; raw formation energy = -3.1 eV/f.u.; volume = 26.48 Å³/atom
1.0
-4.841 4.841 2.260
4.841 -4.841 2.260
4.841 4.841 -2.260
Ca Pb O
2 4 2
Direct
0.000 0.000 0.000
0.750 0.250 0.500
0.244 0.625 0.119
0.375 0.494 0.619
0.506 0.125 0.881
0.875 0.756 0.381
0.250 0.750 0.500
0.500 0.500 0.000

2.
Ca4PbO, relaxed, DFT GGA-PBE; energy = -22.8 eV per formula unit; raw formation energy = -6.1 eV/f.u.; volume = 27.91 Å³/atom
1.0
6.051 0.000 0.000
-0.081 7.365 0.000
-2.974 -2.130 7.514
Ca Pb O
8 2 2
Direct
0.040 0.423 0.219
0.183 0.929 0.219
0.279 0.825 0.611
0.336 0.330 0.622
0.664 0.670 0.378
0.721 0.175 0.389
0.817 0.071 0.781
0.960 0.577 0.781
0.420 0.236 0.000
0.580 0.764 0.000
0.000 0.500 0.500
0.500 0.000 0.500

3.
Ca7Pb3O2, relaxed, DFT GGA-PBE; energy = -50.9 eV per formula unit; raw formation energy = -15.8 eV/f.u.; volume = 24.72 Å³/atom
1.0
2.453 -12.548 0.000
2.453 12.548 0.000
0.000 0.000 4.818
Ca Pb O
7 3 2
Direct
0.000 0.000 0.000
0.096 0.904 0.500
0.198 0.802 0.000
0.401 0.599 0.000
0.599 0.401 0.000
0.802 0.198 0.000
0.904 0.096 0.500
0.306 0.694 0.500
0.500 0.500 0.500
0.694 0.306 0.500
0.097 0.903 0.000
0.903 0.097 0.000

4.
Ca6Pb3O, relaxed, DFT GGA-PBE; energy = -36.7 eV per formula unit; raw formation energy = -8.6 eV/f.u.; volume = 29.94 Å³/atom
1.0
6.919 0.000 0.000
0.000 8.449 0.000
-5.667 0.000 10.245
Ca Pb O
12 6 2
Direct
0.093 0.035 0.222
0.093 0.465 0.722
0.177 0.715 0.052
0.177 0.785 0.552
0.368 0.150 0.052
0.368 0.350 0.552
0.632 0.650 0.448
0.632 0.850 0.948
0.823 0.215 0.448
0.823 0.285 0.948
0.907 0.535 0.278
0.907 0.965 0.778
0.316 0.110 0.749
0.316 0.390 0.249
0.500 0.000 0.500
0.500 0.500 0.000
0.684 0.610 0.751
0.684 0.890 0.251
0.000 0.000 0.000
0.000 0.500 0.500

5.
Ca3Pb4O8, relaxed, DFT GGA-PBE; energy = -86.5 eV per formula unit; raw formation energy = -26.0 eV/f.u.; volume = 17.15 Å³/atom
1.0
5.045 -5.049 0.000
5.045 5.049 0.000
-4.934 0.000 5.050
Ca Pb O
3 4 8
Direct
0.000 0.000 0.000
0.000 0.500 0.000
0.500 0.000 0.000
0.000 0.000 0.500
0.000 0.500 0.500
0.500 0.000 0.500
0.500 0.500 0.000
0.211 0.211 0.481
0.218 0.218 0.948
0.222 0.778 0.500
0.239 0.761 0.000
0.761 0.239 0.000
0.778 0.222 0.500
0.782 0.782 0.052
0.789 0.789 0.519

6.
CaPb3O, relaxed, DFT GGA-PBE; energy = -12.8 eV per formula unit; raw formation energy = 5.3 eV/f.u.; volume = 41.42 Å³/atom
1.0
5.916 0.000 0.000
0.000 5.916 0.000
0.000 0.000 5.916
Ca Pb O
1 3 1
Direct
0.000 0.000 0.000
0.000 0.000 0.500
0.000 0.500 0.000
0.500 0.000 0.000
0.500 0.500 0.500